Compound: PaVPb2O8
Source: Alexandria
Functional: PBE with a Hubbard U
Structure: relaxed

Final energy (eV/cell): -82.00
Space-group type: P-3m1 (164)
Density of states at the Fermi level (states/eV per cell): 3.63
V (A^3/atom): 16.8

Cell and atoms, written as extended XYZ:
```
12
Lattice="6.418 0.000 0.000 -3.209 5.558 0.000 0.000 0.000 5.655" Properties=species:S:1:pos:R:3 pbc="T T T"
Pa 0.000 0.000 0.000
V 0.000 0.000 2.828
Pb 0.000 3.705 3.383
Pb 3.209 1.853 2.273
O 0.000 1.518 4.070
O -1.894 4.799 4.070
O 1.315 0.759 1.585
O 0.000 3.705 1.364
O 3.209 1.853 4.291
O 1.894 4.799 4.070
O 5.103 0.759 1.585
O 3.209 4.040 1.585
```